No. 1
# NdTmRu (GGA-PBE, optimized geometry)
data_NdTmRu
_chemical_formula_sum 'Nd1 Tm1 Ru1'
_cell_length_a 4.7429
_cell_length_b 4.7429
_cell_length_c 3.6614
_cell_angle_alpha 90.00
_cell_angle_beta 90.00
_cell_angle_gamma 120.00
_space_group_name_H-M_alt 'P 3 m 1'
_space_group_IT_number 156
_space_group_name_Hall 'P 3 -2"'
loop_
_atom_site_label
_atom_site_fract_x
_atom_site_fract_y
_atom_site_fract_z
Nd1 0.0000 0.0000 0.0000
Tm1 0.6667 0.3333 0.5457
Ru1 0.3333 0.6667 0.3168
# - density of states at the Fermi level (states/eV per atom) = 0.646
# - calculated density (Mg/m³) = 9.64
# - calculated total energy (eV/atom) = -6.258
# - total magnetization (μB/cell) = 0.00

***

No. 2
# Pu2ZnGe4Ir3 (GGA-PBE, optimized geometry)
data_Pu2ZnGe4Ir3
_chemical_formula_sum 'Pu2 Zn1 Ge4 Ir3'
_cell_length_a 4.236
_cell_length_b 4.236
_cell_length_c 10.327
_cell_angle_alpha 90.00
_cell_angle_beta 90.00
_cell_angle_gamma 90.00
_space_group_name_H-M_alt 'P -4 m 2'
_space_group_IT_number 115
_space_group_name_Hall 'P -4 -2'
loop_
_atom_site_label
_atom_site_fract_x
_atom_site_fract_y
_atom_site_fract_z
Pu1 0.000 0.500 0.246
Zn1 0.000 0.000 0.500
Ge1 0.000 0.000 0.000
Ge2 0.000 0.500 0.638
Ge3 0.500 0.500 0.000
Ir1 0.000 0.500 0.873
Ir2 0.500 0.500 0.500
# - density of states at the Fermi level (states/eV per atom) = 2.754
# - calculated density (Mg/m³) = 12.73
# - calculated total energy (eV/atom) = -7.961
# - total magnetization (μB/cell) = 10.39

***

No. 3
# Li2Tm2PaSe6 (GGA-PBE, optimized geometry)
data_Li2Tm2PaSe6
_chemical_formula_sum 'Li4 Tm4 Pa2 Se12'
_cell_length_a 7.046
_cell_length_b 12.180
_cell_length_c 6.918
_cell_angle_alpha 90.00
_cell_angle_beta 109.91
_cell_angle_gamma 90.00
_space_group_name_H-M_alt 'C 1 2/m 1'
_space_group_IT_number 12
_space_group_name_Hall '-C 2y'
loop_
_atom_site_label
_atom_site_fract_x
_atom_site_fract_y
_atom_site_fract_z
Li1 0.000 0.169 0.000
Tm1 0.000 0.334 0.500
Pa1 0.000 0.000 0.500
Se1 0.248 0.169 0.748
Se2 0.249 0.000 0.252
# - E_form (uncorrected) (eV per formula unit) = -17.38
# - density of states at the Fermi level (states/eV per atom) = 0.289
# - calculated density (Mg/m³) = 6.29
# - calculated total energy (eV/atom) = -5.505
# - total magnetization (μB/cell) = 2.05

***

No. 4
# VCo2Ir (GGA-PBE, optimized geometry)
data_VCo2Ir
_chemical_formula_sum 'V4 Co8 Ir4'
_cell_length_a 5.852
_cell_length_b 5.852
_cell_length_c 5.852
_cell_angle_alpha 90.00
_cell_angle_beta 90.00
_cell_angle_gamma 90.00
_space_group_name_H-M_alt 'F m -3 m'
_space_group_IT_number 225
_space_group_name_Hall '-F 4 2 3'
loop_
_atom_site_label
_atom_site_fract_x
_atom_site_fract_y
_atom_site_fract_z
V1 0.000 0.000 0.000
Co1 0.250 0.250 0.250
Ir1 0.000 0.000 0.500
# - density of states at the Fermi level (states/eV per atom) = 2.099
# - calculated density (Mg/m³) = 11.96
# - calculated total energy (eV/atom) = -8.037
# - total magnetization (μB/cell) = 8.10

***

No. 5
# As2PPd (GGA-PBE, optimized geometry)
data_As2PPd
_chemical_formula_sum 'As8 P4 Pd4'
_cell_length_a 5.714
_cell_length_b 5.714
_cell_length_c 10.861
_cell_angle_alpha 90.00
_cell_angle_beta 90.00
_cell_angle_gamma 90.00
_space_group_name_H-M_alt 'I -4 2 d'
_space_group_IT_number 122
_space_group_name_Hall 'I -4 2bw'
loop_
_atom_site_label
_atom_site_fract_x
_atom_site_fract_y
_atom_site_fract_z
As1 0.247 0.250 0.125
P1 0.000 0.000 0.000
Pd1 0.000 0.000 0.500
# - density of states at the Fermi level (states/eV per atom) = 0.466
# - calculated density (Mg/m³) = 5.38
# - calculated total energy (eV/atom) = -4.987
# - total magnetization (μB/cell) = 0.00

***

No. 6
# Th2ScMn (GGA-PBE, optimized geometry)
data_Th2ScMn
_chemical_formula_sum 'Th2 Sc1 Mn1'
_cell_length_a 3.589
_cell_length_b 3.589
_cell_length_c 7.975
_cell_angle_alpha 90.00
_cell_angle_beta 90.00
_cell_angle_gamma 90.00
_space_group_name_H-M_alt 'P 4/m m m'
_space_group_IT_number 123
_space_group_name_Hall '-P 4 2'
loop_
_atom_site_label
_atom_site_fract_x
_atom_site_fract_y
_atom_site_fract_z
Th1 0.000 0.000 0.218
Sc1 0.500 0.500 0.500
Mn1 0.500 0.500 0.000
# - density of states at the Fermi level (states/eV per atom) = 1.529
# - calculated density (Mg/m³) = 9.12
# - calculated total energy (eV/atom) = -7.428
# - total magnetization (μB/cell) = 2.88

***

No. 7
# PrSn3Rh2 (GGA-PBE, optimized geometry)
data_PrSn3Rh2
_chemical_formula_sum 'Pr6 Sn18 Rh12'
_cell_length_a 17.652
_cell_length_b 4.381
_cell_length_c 10.710
_cell_angle_alpha 90.00
_cell_angle_beta 104.97
_cell_angle_gamma 90.00
_space_group_name_H-M_alt 'C 1 2/m 1'
_space_group_IT_number 12
_space_group_name_Hall '-C 2y'
loop_
_atom_site_label
_atom_site_fract_x
_atom_site_fract_y
_atom_site_fract_z
Pr1 0.000 0.000 0.000
Pr2 0.149 0.000 0.693
Sn1 0.000 0.500 0.500
Sn2 0.050 0.000 0.348
Sn3 0.133 0.500 0.183
Sn4 0.153 0.500 0.925
Sn5 0.227 0.000 0.373
Rh1 0.011 0.500 0.769
Rh2 0.142 0.500 0.440
Rh3 0.202 0.000 0.098
# - density of states at the Fermi level (states/eV per atom) = 0.551
# - calculated density (Mg/m³) = 8.75
# - calculated total energy (eV/atom) = -5.837
# - total magnetization (μB/cell) = 0.00

***

No. 8
# RbSm2Th (GGA-PBE, optimized geometry)
data_RbSm2Th
_chemical_formula_sum 'Rb3 Sm6 Th3'
_cell_length_a 3.6728
_cell_length_b 3.6728
_cell_length_c 40.3705
_cell_angle_alpha 90.00
_cell_angle_beta 90.00
_cell_angle_gamma 120.00
_space_group_name_H-M_alt 'R -3 m'
_space_group_IT_number 166
_space_group_name_Hall '-R 3 2"'
loop_
_atom_site_label
_atom_site_fract_x
_atom_site_fract_y
_atom_site_fract_z
Rb1 0.0000 0.0000 0.0000
Sm1 0.0000 0.0000 0.0971
Th1 0.0000 0.0000 0.5000
# - density of states at the Fermi level (states/eV per atom) = 1.286
# - calculated density (Mg/m³) = 6.53
# - calculated total energy (eV/atom) = -4.202
# - total magnetization (μB/cell) = 0.00

***

No. 9
# Li3Ca2MgSn4 (GGA-PBE, optimized geometry)
data_Li3Ca2MgSn4
_chemical_formula_sum 'Li3 Ca2 Mg1 Sn4'
_cell_length_a 4.359
_cell_length_b 4.359
_cell_length_c 12.785
_cell_angle_alpha 90.00
_cell_angle_beta 90.00
_cell_angle_gamma 90.00
_space_group_name_H-M_alt 'P -4 m 2'
_space_group_IT_number 115
_space_group_name_Hall 'P -4 -2'
loop_
_atom_site_label
_atom_site_fract_x
_atom_site_fract_y
_atom_site_fract_z
Li1 0.000 0.000 0.000
Li2 0.000 0.500 0.638
Ca1 0.000 0.500 0.268
Mg1 0.500 0.500 0.000
Sn1 0.000 0.000 0.500
Sn2 0.000 0.500 0.847
Sn3 0.500 0.500 0.500
# - density of states at the Fermi level (states/eV per atom) = 0.376
# - calculated density (Mg/m³) = 4.10
# - calculated total energy (eV/atom) = -3.158
# - total magnetization (μB/cell) = 0.00

***

No. 10
# SmTmOsO6 (GGA-PBE, optimized geometry)
data_SmTmOsO6
_chemical_formula_sum 'Sm2 Tm2 Os2 O12'
_cell_length_a 5.4622
_cell_length_b 5.4622
_cell_length_c 9.8328
_cell_angle_alpha 90.00
_cell_angle_beta 90.00
_cell_angle_gamma 120.00
_space_group_name_H-M_alt 'P -3 1 c'
_space_group_IT_number 163
_space_group_name_Hall '-P 3 2c'
loop_
_atom_site_label
_atom_site_fract_x
_atom_site_fract_y
_atom_site_fract_z
Sm1 0.0000 0.0000 0.0000
Tm1 0.3333 0.6667 0.2500
Os1 0.3333 0.6667 0.7500
O1 0.0380 0.3729 0.6383
# - E_form (uncorrected) (eV per formula unit) = -21.43
# - density of states at the Fermi level (states/eV per atom) = 0.492
# - calculated density (Mg/m³) = 7.92
# - calculated total energy (eV/atom) = -7.956
# - total magnetization (μB/cell) = 4.02

***

No. 11
# Sr2NbTl (GGA-PBE, optimized geometry)
data_Sr2NbTl
_chemical_formula_sum 'Sr8 Nb4 Tl4'
_cell_length_a 8.996
_cell_length_b 8.996
_cell_length_c 6.540
_cell_angle_alpha 90.00
_cell_angle_beta 90.00
_cell_angle_gamma 90.00
_space_group_name_H-M_alt 'I -4 2 d'
_space_group_IT_number 122
_space_group_name_Hall 'I -4 2bw'
loop_
_atom_site_label
_atom_site_fract_x
_atom_site_fract_y
_atom_site_fract_z
Sr1 0.248 0.250 0.125
Nb1 0.000 0.000 0.500
Tl1 0.000 0.000 0.000
# - density of states at the Fermi level (states/eV per atom) = 1.035
# - calculated density (Mg/m³) = 5.93
# - calculated total energy (eV/atom) = -3.208
# - total magnetization (μB/cell) = 11.20

***

No. 12
# RbTlIBr (GGA-PBE, optimized geometry)
data_RbTlIBr
_chemical_formula_sum 'Rb4 Tl4 I4 Br4'
_cell_length_a 8.503
_cell_length_b 8.503
_cell_length_c 8.503
_cell_angle_alpha 90.00
_cell_angle_beta 90.00
_cell_angle_gamma 90.00
_space_group_name_H-M_alt 'F -4 3 m'
_space_group_IT_number 216
_space_group_name_Hall 'F -4 2 3'
loop_
_atom_site_label
_atom_site_fract_x
_atom_site_fract_y
_atom_site_fract_z
Rb1 0.000 0.000 0.000
Tl1 0.000 0.000 0.500
I1 0.250 0.250 0.250
Br1 0.250 0.250 0.750
# - E_form (uncorrected) (eV per formula unit) = -4.52
# - density of states at the Fermi level (states/eV per atom) = 0.000
# - calculated density (Mg/m³) = 5.37
# - calculated total energy (eV/atom) = -2.770
# - total magnetization (μB/cell) = 0.00